Record 1
The following is a PBE-GGA calculation of an optimized crystal structure of NaPmAu2, from Alexandria via LeMat-Bulk.

Output
The volume comes out at 27.06 Å³ per atom. Its calculated formation energy is -44.1 kJ/mol of atoms. As for the density of states at the Fermi level: 0.510 states/eV/atom.

Structure (POSCAR):
```
NaPmAu2
1.0
-1.6191 1.9161 -3.3025
-4.1042 0.5213 -0.2895
-1.3384 7.1963 2.2274
Au Na Pm
2 1 1
Direct
0.2500 0.2500 0.2500 Au
0.0840 0.0840 0.7479 Au
0.4976 0.4976 0.5073 Na
0.6684 0.6684 0.9949 Pm
```

***

Record 2
The following is a PBE-GGA calculation of an optimized crystal structure of PuU3N6, from Alexandria via LeMat-Bulk.

Output
The volume comes out at 14.97 Å³ per atom. As for the density of states at the Fermi level: 1.256 states/eV/atom. The value obtained for the formation energy (no corrections) is -12.80 eV/f.u.

Structure (POSCAR):
```
PuU3N6
1.0
-2.2205 -0.3848 -2.8450
-3.4412 -4.5975 3.3076
-2.5339 6.0118 1.1646
N U Pu
6 3 1
Direct
0.5000 0.3491 0.6509 N
0.0000 0.3374 0.0809 N
0.5000 0.6509 0.3491 N
0.0000 0.0809 0.3374 N
0.0000 0.6626 0.9191 N
0.0000 0.9191 0.6626 N
0.5000 0.0000 0.5000 U
0.0000 0.0000 0.0000 U
0.5000 0.5000 0.0000 U
0.0000 0.5000 0.5000 Pu
```